Below is a geometry-optimized BeNiP structure, with properties calculated at the PBE-GGA level.

It has space group F-43m (No. 216), with a = 5.160 Å, b = 5.160 Å, c = 5.160 Å, α = 90.00°, β = 90.00° and γ = 90.00°. The inequivalent atoms are Be at (0.000, 0.000, 0.000), Ni at (0.250, 0.250, 0.750) and P at (0.000, 0.000, 0.500).

As for the final energy: -5.38 eV per atom. The offset from the most stable computed form comes out at 0.0 meV per atom. The calculated formation energy is -1.2 eV/f.u.